[1]
# Ce2LuTl GGA-PBE relaxed
data_Ce2LuTl
_chemical_formula_sum 'Ce2 Lu1 Tl1'
_cell_length_a 4.550
_cell_length_b 4.550
_cell_length_c 5.233
_cell_angle_alpha 90.00
_cell_angle_beta 90.00
_cell_angle_gamma 90.00
_symmetry_space_group_name_H-M 'P 1'
_symmetry_Int_Tables_number 1
loop_
_symmetry_equiv_pos_as_xyz
'x,y,z'
loop_
_atom_site_label
_atom_site_type_symbol
_atom_site_fract_x
_atom_site_fract_y
_atom_site_fract_z
_atom_site_occupancy
Ce1 Ce 0.000 0.500 0.000 1
Ce2 Ce 0.500 0.000 0.000 1
Lu1 Lu 0.000 0.000 0.500 1
Tl1 Tl 0.500 0.500 0.500 1
# space-group type	P4/mmm, No. 123
# V	27.08	Å³/atom
# energy relative to the lowest polymorph listed for this composition	0.0	meV/atom
# formation energy from the elements	-0.1359	eV per atom

[2]
# CeLu2Tl GGA-PBE relaxed
data_CeLu2Tl
_chemical_formula_sum 'Ce1 Lu2 Tl1'
_cell_length_a 3.513
_cell_length_b 3.513
_cell_length_c 9.015
_cell_angle_alpha 90.00
_cell_angle_beta 90.00
_cell_angle_gamma 90.00
_symmetry_space_group_name_H-M 'P 1'
_symmetry_Int_Tables_number 1
loop_
_symmetry_equiv_pos_as_xyz
'x,y,z'
loop_
_atom_site_label
_atom_site_type_symbol
_atom_site_fract_x
_atom_site_fract_y
_atom_site_fract_z
_atom_site_occupancy
Ce1 Ce 0.000 0.000 0.000 1
Lu1 Lu 0.500 0.500 0.265 1
Lu2 Lu 0.500 0.500 0.735 1
Tl1 Tl 0.000 0.000 0.500 1
# space-group type	P4/mmm, No. 123
# V	27.81	Å³/atom
# energy relative to the lowest polymorph listed for this composition	0.0	meV/atom
# formation energy from the elements	-0.1246	eV per atom

[3]
# CeLuTl2 GGA-PBE relaxed
data_CeLuTl2
_chemical_formula_sum 'Ce1 Lu1 Tl2'
_cell_length_a 10.455
_cell_length_b 10.455
_cell_length_c 10.455
_cell_angle_alpha 19.83
_cell_angle_beta 19.83
_cell_angle_gamma 19.83
_symmetry_space_group_name_H-M 'P 1'
_symmetry_Int_Tables_number 1
loop_
_symmetry_equiv_pos_as_xyz
'x,y,z'
loop_
_atom_site_label
_atom_site_type_symbol
_atom_site_fract_x
_atom_site_fract_y
_atom_site_fract_z
_atom_site_occupancy
Ce1 Ce 0.000 0.000 0.000 1
Lu1 Lu 0.500 0.500 0.500 1
Tl1 Tl 0.246 0.246 0.246 1
Tl2 Tl 0.754 0.754 0.754 1
# space-group type	R-3m, No. 166
# V	28.76	Å³/atom
# energy relative to the lowest polymorph listed for this composition	105.0	meV/atom
# formation energy from the elements	-0.1541	eV per atom

[4]
# CeYLuTl GGA-PBE relaxed
data_CeYLuTl
_chemical_formula_sum 'Ce1 Y1 Lu1 Tl1'
_cell_length_a 5.468
_cell_length_b 5.468
_cell_length_c 5.468
_cell_angle_alpha 60.00
_cell_angle_beta 60.00
_cell_angle_gamma 60.00
_symmetry_space_group_name_H-M 'P 1'
_symmetry_Int_Tables_number 1
loop_
_symmetry_equiv_pos_as_xyz
'x,y,z'
loop_
_atom_site_label
_atom_site_type_symbol
_atom_site_fract_x
_atom_site_fract_y
_atom_site_fract_z
_atom_site_occupancy
Ce1 Ce 0.000 0.000 0.000 1
Y1 Y 0.500 0.500 0.500 1
Lu1 Lu 0.250 0.250 0.250 1
Tl1 Tl 0.750 0.750 0.750 1
# space-group type	F-43m, No. 216
# V	28.90	Å³/atom
# formation energy from the elements	-0.0216	eV per atom

no.,uncorrected energy (eV/atom)
1,-4.825
2,-4.460
3,-3.951
4,-4.843